1.
{
  "formula": "CdPbBr2",
  "functional": "GGA-PBE",
  "state": "relaxed",
  "lattice": [[9.324, -0.060, -0.036], [8.391, 4.066, -0.036], [8.391, 1.898, 3.596]],
  "species": ["Br", "Pb", "Br", "Cd"],
  "frac_coords": [[0.224, 0.224, 0.224], [0.753, 0.753, 0.753], [0.021, 0.021, 0.021], [0.502, 0.502, 0.502]],
  "rho_g_cm3": 5.710,
  "space_group": "No. 160"
}



2.
{
  "formula": "CdPbBr2",
  "functional": "GGA-PBE",
  "state": "relaxed",
  "lattice": [[4.077, 0.000, 0.000], [0.000, 6.209, 0.000], [0.000, 0.000, 4.710]],
  "species": ["Br", "Pb", "Cd", "Br"],
  "frac_coords": [[0.000, 0.000, 0.000], [0.000, 0.500, 0.500], [0.500, 0.000, 0.500], [0.500, 0.500, 0.000]],
  "n_ef_per_ev_fu": 1.21,
  "rho_g_cm3": 6.678,
  "space_group": "No. 47"
}



Most stable one: 1, least stable one: 2.